The following is a PBE calculation of an optimized crystal structure of YPaZnCu, from Alexandria via LeMat-Bulk.

Values from the calculation:
Its uncorrected energy is -5.29 eV per atom. The value obtained for the formation energy is 0.05 eV/atom.

Unit cell a=7.026 b=7.026 c=7.026 alpha=90.00 beta=90.00 gamma=90.00
Space group F-43m (No. 216)
One atom of each set of equivalent atoms:
Y  0.000  0.000  0.000 (multiplicity 4)
Pa  0.000  0.000  0.500 (multiplicity 4)
Zn  0.250  0.250  0.250 (multiplicity 4)
Cu  0.250  0.250  0.750 (multiplicity 4)

=====

The following is a PBE calculation of an optimized crystal structure of CaCuAu2, from Alexandria via LeMat-Bulk.

Values from the calculation:
For the energy above the most stable polymorph in this dataset, the calculation gives 0.120 eV per atom. Its uncorrected energy is -3.55 eV per atom. The value obtained for the formation energy is -0.39 eV/atom.

Unit cell a=3.671 b=4.637 c=5.174 alpha=90.00 beta=90.00 gamma=90.00
Space group Pmm2 (No. 25)
One atom of each set of equivalent atoms:
Ca  0.000  0.000  0.000 (multiplicity 1)
Cu  0.500  0.500  0.725 (multiplicity 1)
Au  0.500  0.000  0.516 (multiplicity 1)
Au  0.500  0.500  0.214 (multiplicity 1)

=====

The following is a PBE calculation of an optimized crystal structure of SiSbCl, from Alexandria via LeMat-Bulk.

Values from the calculation:
For the energy above the most stable polymorph in this dataset, the calculation gives 0.394 eV per atom. The calculation puts the energy relative to the elements, uncorrected at 0.233 eV per atom. Its uncorrected energy is -3.56 eV per atom.

Unit cell a=6.730 b=6.730 c=6.730 alpha=90.00 beta=90.00 gamma=90.00
Space group F-43m (No. 216)
One atom of each set of equivalent atoms:
Si  0.000  0.000  0.000 (multiplicity 4)
Sb  0.250  0.250  0.750 (multiplicity 4)
Cl  0.000  0.000  0.500 (multiplicity 4)

=====

The following is a PBE calculation of an optimized crystal structure of Nd2Ga5Co, from Alexandria via LeMat-Bulk.

Values from the calculation:
Its uncorrected energy is -4.40 eV per atom. The value obtained for the formation energy is -0.43 eV/atom.

Unit cell a=6.064 b=6.064 c=9.142 alpha=90.00 beta=90.00 gamma=90.00
Space group I4mm (No. 107)
One atom of each set of equivalent atoms:
Nd  0.000  0.500  0.000 (multiplicity 4)
Ga  0.000  0.000  0.030 (multiplicity 2)
Ga  0.223  0.223  0.250 (multiplicity 8)
Co  0.000  0.000  0.773 (multiplicity 2)

=====

Q: What is the formula in the second record?
A: CaCuAu2

=====

Q: What is the formula in the fourth record?
A: Nd2Ga5Co

=====

Q: Number 1 is which compound?
A: YPaZnCu

=====

Q: The lowest uncorrected energy belongs to which entry?
A: YPaZnCu